# ThSc5Os6

An optimized crystal structure of ThSc5Os6 (PBE, Alexandria via LeMat-Bulk).

Output
ΔH_f (0 K)	-0.328	eV/atom
DFT total energy	-110.4	eV/cell

Cell lengths 4.6300, 6.5361, 7.3138 Å; angles 90.00, 108.57, 90.00 degrees
With the nearest neighbours (Å) after each atom.
Space group P2/m (No. 10)
One atom of each set of equivalent atoms:
Th 0.0000 0.0000 0.0000 (multiplicity 1)  8 Os 2.84-2.85
Sc 0.0000 0.5000 0.0000 (multiplicity 1)  8 Os 2.82
Sc 0.3270 0.0000 0.6542 (multiplicity 2)  8 Os 2.77-2.91
Sc 0.3314 0.5000 0.6629 (multiplicity 2)  8 Os 2.80-2.84
Os 0.1671 0.2525 0.3339 (multiplicity 4)  7 Sc 2.77-2.84, 1 Th 2.84
Os 0.5000 0.2534 0.0000 (multiplicity 2)  6 Sc 2.82-2.91, 2 Th 2.85